Entry 1:
! TbPr2Y2Er (PBE, relaxed); values from VASP
&SYSTEM
  ibrav = 0, nat = 12, ntyp = 4
/
ATOMIC_SPECIES
Tb 158.93 Tb.upf
Pr 140.91 Pr.upf
Y 88.91 Y.upf
Er 167.26 Er.upf
ATOMIC_POSITIONS crystal
Tb 0.500 0.258 0.680
Tb 0.500 0.758 0.320
Pr 0.000 0.258 0.817
Pr 0.500 0.258 0.351
Pr 0.000 0.758 0.183
Pr 0.500 0.758 0.649
Y 0.500 0.008 0.000
Y 0.000 0.258 0.156
Y 0.500 0.508 0.000
Y 0.000 0.758 0.844
Er 0.000 0.008 0.500
Er 0.000 0.508 0.500
CELL_PARAMETERS angstrom
-1.653 -4.496 3.075
6.466 -0.391 2.905
-2.890 6.018 7.244
! Energy of formation from the pure elements, eV per atom: 0.06
! Calculated total energy, eV/atom: -5.225
! Fermi-level density of states, states/eV per atom: 1.713
! Space-group type: Pmma, No. 51

Entry 2:
! Ga3SiRu4 (PBE, relaxed); values from VASP
&SYSTEM
  ibrav = 0, nat = 8, ntyp = 3
/
ATOMIC_SPECIES
Ru 101.07 Ru.upf
Si 28.09 Si.upf
Ga 69.72 Ga.upf
ATOMIC_POSITIONS crystal
Ru 0.000 0.000 0.884
Ru 0.000 0.000 0.116
Ru 0.000 0.000 0.372
Ru 0.000 0.000 0.628
Si 0.500 0.500 0.000
Ga 0.500 0.500 0.248
Ga 0.500 0.500 0.500
Ga 0.500 0.500 0.752
CELL_PARAMETERS angstrom
2.992 0.000 0.000
0.000 2.992 0.000
0.000 0.000 12.162
! Calculated total energy, eV/atom: -6.847
! Fermi-level density of states, states/eV per atom: 1.039
! Space-group type: P4/mmm, No. 123

Entry 3:
! KSr2GaF8 (PBE, relaxed); values from VASP
&SYSTEM
  ibrav = 0, nat = 12, ntyp = 4
/
ATOMIC_SPECIES
K 39.10 K.upf
Sr 87.62 Sr.upf
Ga 69.72 Ga.upf
F 19.00 F.upf
ATOMIC_POSITIONS crystal
K 0.000 0.000 0.500
Sr 0.500 0.500 0.759
Sr 0.500 0.500 0.241
Ga 0.000 0.000 0.000
F 0.175 0.817 0.182
F 0.733 0.741 0.000
F 0.825 0.183 0.182
F 0.825 0.183 0.818
F 0.267 0.259 0.000
F 0.175 0.817 0.818
F 0.668 0.685 0.500
F 0.332 0.315 0.500
CELL_PARAMETERS angstrom
5.311 0.011 -0.003
0.048 5.299 -0.006
0.005 0.008 7.579
! Calculated total energy, eV/atom: -5.168
! Fermi-level density of states, states/eV per atom: 0.000
! Space-group type: P2/m, No. 10

Entry 4:
! SiRuBr2 (PBE, relaxed); values from VASP
&SYSTEM
  ibrav = 0, nat = 4, ntyp = 3
/
ATOMIC_SPECIES
Br 79.90 Br.upf
Ru 101.07 Ru.upf
Si 28.09 Si.upf
ATOMIC_POSITIONS crystal
Br 0.000 0.986 0.011
Br 0.500 0.158 0.452
Ru 0.000 0.579 0.520
Si 0.500 0.777 0.516
CELL_PARAMETERS angstrom
-1.583 -1.273 -2.928
-3.344 -4.724 3.861
-6.775 -1.515 4.322
! Calculated total energy, eV/atom: -4.577
! Fermi-level density of states, states/eV per atom: 0.255
! Space-group type: Pm, No. 6

Entry 5:
! LaTcBr4 (PBE, relaxed); values from VASP
&SYSTEM
  ibrav = 0, nat = 6, ntyp = 3
/
ATOMIC_SPECIES
La 138.91 La.upf
Tc 98.00 Tc.upf
Br 79.90 Br.upf
ATOMIC_POSITIONS crystal
La 0.750 0.750 0.750
Tc 0.000 0.000 0.000
Br 0.875 0.375 0.375
Br 0.375 0.375 0.875
Br 0.375 0.875 0.375
Br 0.375 0.375 0.375
CELL_PARAMETERS angstrom
3.512 -2.990 4.247
-0.255 1.694 6.031
-2.708 -3.780 4.206
! Calculated total energy, eV/atom: -3.231
! Fermi-level density of states, states/eV per atom: 1.690
! Space-group type: F-43m, No. 216

Entry 6:
! AlTe2Cl (PBE, relaxed); values from VASP
&SYSTEM
  ibrav = 0, nat = 4, ntyp = 3
/
ATOMIC_SPECIES
Te 127.60 Te.upf
Al 26.98 Al.upf
Cl 35.45 Cl.upf
ATOMIC_POSITIONS crystal
Te 0.000 0.000 0.000
Te 0.500 0.500 0.000
Al 0.500 0.000 0.500
Cl 0.000 0.500 0.500
CELL_PARAMETERS angstrom
-6.314 2.106 -2.689
6.271 -1.663 -3.072
-0.872 -2.892 -0.215
! Calculated total energy, eV/atom: -2.879
! Fermi-level density of states, states/eV per atom: 0.484
! Space-group type: Cmmm, No. 65

Question: The lowest Fermi-level density of states belongs to which entry?
Answer: KSr2GaF8